Density functional theory data (PBE+U) for MnTcNO2 after structural relaxation.

Energy: -0.5707 Ry per atom
Calculated density: 5598 kg/m³

Unit cell a=3.890 b=3.890 c=3.900 alpha=90.00 beta=90.00 gamma=90.00
Sites, in units of the cell vectors:
Mn 0.000 0.000 0.000
Tc 0.500 0.500 0.500
N 0.500 0.500 0.000
O 0.000 0.500 0.500
O 0.500 0.000 0.500